Record 1
A geometry-optimized Ta3Al structure. Source: the Alexandria database, functional GGA-PBE.

```
Ta3Al
1.0
5.454 0.002 0.008
-2.484 4.855 0.008
-2.484 -4.064 2.657
Ta Al
3 1
Cartesian
1.485 2.429 0.008 Ta
-2.484 0.396 1.333 Ta
1.485 -2.031 1.333 Ta
0.000 0.000 0.000 Al
```

Values from the calculation:
Energy (eV for the cell shown): -39.67
Energy of formation (kJ/mol of formula units): -36

=====

Record 2
A geometry-optimized TaAl2 structure. Source: the Alexandria database, functional GGA-PBE.

```
TaAl2
1.0
-1.707 1.707 9.193
1.707 -1.707 9.193
1.707 1.707 -9.193
Al Ta
4 2
Cartesian
1.707 0.000 3.277 Al
0.000 0.000 10.513 Al
0.000 0.000 7.874 Al
1.707 0.000 5.916 Al
0.000 1.707 4.597 Ta
0.000 0.000 0.000 Ta
```

Values from the calculation:
Energy (eV for the cell shown): -37.05
Energy of formation (kJ/mol of formula units): 78

=====

Record 3
A geometry-optimized Ta2Al structure. Source: the Alexandria database, functional GGA-PBE.

```
Ta2Al
1.0
-6.849 0.327 -11.472
-5.845 -5.190 -10.840
3.932 2.157 12.590
Ta Al
8 4
Cartesian
-5.268 -2.019 -9.260 Ta
-9.510 -3.643 -16.715 Ta
-7.426 -2.845 -13.052 Ta
-3.553 0.439 -3.123 Ta
-1.469 1.238 0.540 Ta
-5.710 -0.387 -6.915 Ta
-3.184 -1.220 -5.597 Ta
-7.794 -1.186 -10.578 Ta
-5.171 -3.132 -6.533 Al
-3.089 -2.334 -2.874 Al
-1.041 -0.399 -1.829 Al
-11.653 -4.465 -20.483 Al
```

Values from the calculation:
Energy (eV for the cell shown): -111.95
Energy of formation (kJ/mol of formula units): -52

=====

Record 4
A geometry-optimized TaAl structure. Source: the Alexandria database, functional GGA-PBE.

```
TaAl
1.0
-0.254 -4.186 -0.021
3.780 -0.229 -0.043
0.047 -0.024 4.225
Al Ta
2 2
Cartesian
-0.103 -2.105 2.102 Al
1.914 -0.127 2.091 Al
0.000 0.000 0.000 Ta
1.763 -2.208 -0.032 Ta
```

Values from the calculation:
Energy (eV for the cell shown): -32.12
Energy of formation (kJ/mol of formula units): -45

=====

Record 5
A geometry-optimized Ta3Al structure. Source: the Alexandria database, functional GGA-PBE.

```
Ta3Al
1.0
-2.231 -0.724 1.608
-0.424 -2.221 -1.589
5.694 -5.099 5.606
Ta Al
3 1
Cartesian
-0.244 -2.443 1.077 Ta
2.427 -3.474 1.804 Ta
2.904 -3.961 4.761 Ta
5.543 -4.964 5.457 Al
```

Values from the calculation:
Energy (eV for the cell shown): -38.31
Energy of formation (kJ/mol of formula units): 95

=====

Record 6
A geometry-optimized Ta3Al4 structure. Source: the Alexandria database, functional GGA-PBE.

```
Ta3Al4
1.0
-1.668 1.668 10.746
1.668 -1.668 10.746
1.668 1.668 -10.746
Al Ta
4 3
Cartesian
0.000 0.000 18.381 Al
0.000 0.000 12.395 Al
0.000 0.000 3.110 Al
0.000 0.000 9.097 Al
0.000 0.000 6.064 Ta
0.000 0.000 0.000 Ta
0.000 0.000 15.427 Ta
```

Values from the calculation:
Energy (eV for the cell shown): -50.91
Energy of formation (kJ/mol of formula units): -37
Energy above the most stable polymorph in this dataset (eV/atom): 0.0000

=====

Record 7
A geometry-optimized Ta2Al structure. Source: the Alexandria database, functional GGA-PBE.

```
Ta2Al
1.0
-6.950 -5.390 4.095
-5.513 -1.886 7.757
4.276 4.368 -7.533
Al Ta
2 4
Cartesian
0.087 1.788 -2.055 Al
-8.274 -4.696 6.373 Al
-5.217 -1.309 2.990 Ta
-2.969 -1.599 1.328 Ta
-1.168 -0.547 -0.384 Ta
-7.018 -2.361 4.703 Ta
```

Values from the calculation:
Energy (eV for the cell shown): -52.85
Energy of formation (kJ/mol of formula units): 99

=====

Record 8
A geometry-optimized TaAl structure. Source: the Alexandria database, functional GGA-PBE.

```
TaAl
1.0
-7.361 -0.052 -0.864
4.129 -5.336 -3.068
-0.440 -2.587 3.907
Al Ta
6 6
Cartesian
-2.585 -6.288 -0.203 Al
-3.982 -4.747 -2.175 Al
0.309 -3.228 2.150 Al
2.182 -7.029 -0.156 Al
-5.855 -0.946 0.131 Al
-1.088 -1.687 0.178 Al
-4.532 -2.436 2.128 Ta
1.180 -3.145 -0.532 Ta
0.860 -5.539 -2.153 Ta
-1.473 -3.981 -1.384 Ta
-4.852 -4.830 0.507 Ta
-2.200 -3.995 1.359 Ta
```

Values from the calculation:
Energy (eV for the cell shown): -90.50
Energy of formation (kJ/mol of formula units): 49

=====

Record 9
A geometry-optimized TaAl structure. Source: the Alexandria database, functional GGA-PBE.

```
TaAl
1.0
1.456 5.287 0.006
-1.456 5.287 0.006
0.000 1.716 6.631
Al Ta
3 3
Cartesian
0.000 6.864 1.808 Al
0.000 10.536 0.027 Al
0.000 8.270 4.455 Al
0.000 4.548 6.290 Ta
0.000 3.996 2.225 Ta
0.000 11.178 4.025 Ta
```

Values from the calculation:
Energy (eV for the cell shown): -47.63
Energy of formation (kJ/mol of formula units): -27

=====

Record 10
A geometry-optimized TaAl structure. Source: the Alexandria database, functional GGA-PBE.

```
TaAl
1.0
-0.580 -4.291 2.470
1.293 -2.662 4.011
-1.579 -2.163 4.204
Al Ta
1 1
Cartesian
0.000 0.000 0.000 Al
-0.433 -4.558 5.343 Ta
```

Values from the calculation:
Energy (eV for the cell shown): -15.75
Energy of formation (kJ/mol of formula units): -15

=====

Record 11
A geometry-optimized TaAl structure. Source: the Alexandria database, functional GGA-PBE.

```
TaAl
1.0
4.570 -0.001 -0.001
2.285 3.958 0.000
2.285 1.319 3.732
Ta Al
2 2
Cartesian
1.143 0.659 0.466 Ta
7.998 4.617 3.264 Ta
5.713 3.298 2.332 Al
3.428 1.978 1.399 Al
```

Values from the calculation:
Energy (eV for the cell shown): -31.05
Energy of formation (kJ/mol of formula units): 7

=====

Record 12
A geometry-optimized TaAl2 structure. Source: the Alexandria database, functional GGA-PBE.

```
TaAl2
1.0
-0.225 -3.747 -2.692
3.278 -1.171 -2.608
0.560 -4.014 1.577
Ta Al
1 2
Cartesian
0.000 0.000 0.000 Ta
1.127 -5.177 -0.815 Al
2.486 -3.756 -2.907 Al
```

Values from the calculation:
Energy (eV for the cell shown): -17.71
Energy of formation (kJ/mol of formula units): 157

=====

Record 13
A geometry-optimized TaAl2 structure. Source: the Alexandria database, functional GGA-PBE.

```
TaAl2
1.0
-5.097 1.422 -0.486
-4.786 0.439 2.268
-0.481 6.555 2.394
Ta Al
2 4
Cartesian
-6.896 3.636 2.077 Ta
-3.467 4.781 2.098 Ta
-9.685 3.747 2.432 Al
-0.678 4.669 1.743 Al
-3.511 0.894 0.716 Al
-6.852 7.523 3.460 Al
```

Values from the calculation:
Energy (eV for the cell shown): -39.58
Energy of formation (kJ/mol of formula units): -44

=====

Record 14
A geometry-optimized TaAl structure. Source: the Alexandria database, functional GGA-PBE.

```
TaAl
1.0
-0.036 2.585 1.208
-1.949 -0.904 1.877
6.115 -2.354 5.219
Al Ta
2 2
Cartesian
3.894 -0.811 6.907 Al
0.236 0.138 1.396 Al
0.694 0.420 4.176 Ta
3.436 -1.093 4.127 Ta
```

Values from the calculation:
Energy (eV for the cell shown): -31.44
Energy of formation (kJ/mol of formula units): -12

=====

Record 15
A geometry-optimized TaAl2 structure. Source: the Alexandria database, functional GGA-PBE.

```
TaAl2
1.0
-0.340 -2.805 -0.808
2.668 1.231 -0.052
1.052 -2.004 6.511
Ta Al
1 2
Cartesian
0.000 0.000 0.000 Ta
2.015 -0.781 1.860 Al
1.365 -2.798 3.791 Al
```

Values from the calculation:
Energy (eV for the cell shown): -19.61
Energy of formation (kJ/mol of formula units): -26

=====

Record 16
A geometry-optimized Ta2Al structure. Source: the Alexandria database, functional GGA-PBE.

```
Ta2Al
1.0
3.729 0.000 0.000
0.000 6.089 0.000
0.000 0.000 9.201
Ta Al
8 4
Cartesian
0.932 3.849 0.754 Ta
0.932 3.709 6.829 Ta
2.797 5.285 5.354 Ta
2.797 2.380 2.372 Ta
2.797 5.425 2.229 Ta
0.932 0.804 3.847 Ta
2.797 2.240 8.447 Ta
0.932 0.664 6.972 Ta
0.932 0.847 0.797 Al
2.797 5.242 8.404 Al
2.797 2.197 5.398 Al
0.932 3.892 3.803 Al
```

Values from the calculation:
Energy (eV for the cell shown): -111.67
Energy of formation (kJ/mol of formula units): -45

=====

Record 17
A geometry-optimized Ta3Al structure. Source: the Alexandria database, functional GGA-PBE.

```
Ta3Al
1.0
3.534 0.000 0.000
0.000 6.236 -1.076
0.000 0.907 6.262
Ta Al
6 2
Cartesian
0.884 1.093 2.170 Ta
0.884 4.243 1.668 Ta
2.651 2.401 0.368 Ta
2.651 6.050 3.017 Ta
2.651 2.900 3.518 Ta
0.884 4.741 4.819 Ta
0.884 1.576 5.341 Al
2.651 5.567 -0.155 Al
```

Values from the calculation:
Energy (eV for the cell shown): -79.40
Energy of formation (kJ/mol of formula units): -39

=====

Record 18
A geometry-optimized TaAl structure. Source: the Alexandria database, functional GGA-PBE.

```
TaAl
1.0
5.380 0.000 0.000
0.000 8.108 0.000
0.000 0.000 9.252
Ta Al
12 12
Cartesian
1.345 6.945 2.968 Ta
1.345 7.925 7.868 Ta
4.035 0.183 1.385 Ta
2.690 2.027 3.465 Ta
0.000 6.081 5.788 Ta
2.690 6.081 5.788 Ta
4.035 1.163 6.284 Ta
0.000 2.027 3.465 Ta
1.345 2.891 6.284 Ta
4.035 4.237 7.868 Ta
1.345 3.871 1.385 Ta
4.035 5.217 2.968 Ta
2.690 2.027 8.590 Al
1.345 5.007 7.961 Al
1.345 0.953 1.291 Al
0.000 2.027 8.590 Al
2.690 6.081 0.662 Al
4.035 3.679 5.234 Al
1.345 4.429 4.019 Al
4.035 3.100 1.291 Al
4.035 7.154 7.961 Al
0.000 6.081 0.662 Al
4.035 7.733 4.019 Al
1.345 0.375 5.234 Al
```

Values from the calculation:
Energy (eV for the cell shown): -192.11
Energy of formation (kJ/mol of formula units): -40

=====

Record 19
A geometry-optimized Ta2Al3 structure. Source: the Alexandria database, functional GGA-PBE.

```
Ta2Al3
1.0
2.259 -3.913 0.000
2.259 3.913 0.000
0.000 0.000 5.547
Ta Al
2 3
Cartesian
2.259 1.304 4.906 Ta
2.259 -1.304 0.641 Ta
2.259 -1.304 3.425 Al
0.000 0.000 0.000 Al
2.259 1.304 2.122 Al
```

Values from the calculation:
Energy (eV for the cell shown): -34.41
Energy of formation (kJ/mol of formula units): 50

=====

Record 20
A geometry-optimized TaAl2 structure. Source: the Alexandria database, functional GGA-PBE.

```
TaAl2
1.0
4.043 -7.002 0.000
4.043 7.002 0.000
0.000 0.000 2.758
Ta Al
3 6
Cartesian
4.043 -2.334 0.000 Ta
0.000 0.000 1.379 Ta
4.043 2.334 0.000 Ta
5.665 0.000 0.000 Al
2.488 4.309 1.379 Al
2.488 -4.309 1.379 Al
1.210 -2.096 0.000 Al
3.109 0.000 1.379 Al
1.210 2.096 0.000 Al
```

Values from the calculation:
Energy (eV for the cell shown): -56.78
Energy of formation (kJ/mol of formula units): 40

=====

Record 21
A geometry-optimized Ta2Al structure. Source: the Alexandria database, functional GGA-PBE.

```
Ta2Al
1.0
9.913 0.000 0.000
0.000 9.913 0.000
0.000 0.000 5.403
Al Ta
10 20
Cartesian
9.570 6.305 0.000 Al
4.956 4.956 0.000 Al
1.348 5.298 2.701 Al
4.614 8.564 2.701 Al
8.564 4.614 2.701 Al
5.298 1.348 2.701 Al
3.608 0.342 0.000 Al
0.000 0.000 2.701 Al
6.305 9.570 0.000 Al
0.342 3.608 0.000 Al
1.869 8.043 4.043 Ta
1.869 8.043 1.360 Ta
3.087 3.087 1.341 Ta
8.043 1.869 4.043 Ta
5.922 3.991 2.701 Ta
8.947 8.947 0.000 Ta
2.351 5.574 0.000 Ta
0.966 0.966 0.000 Ta
6.825 6.825 1.341 Ta
7.308 9.295 2.701 Ta
2.605 0.618 2.701 Ta
3.087 3.087 4.062 Ta
6.825 6.825 4.062 Ta
3.991 5.922 2.701 Ta
5.574 2.351 0.000 Ta
8.043 1.869 1.360 Ta
7.561 4.338 0.000 Ta
4.338 7.561 0.000 Ta
0.618 2.605 2.701 Ta
9.295 7.308 2.701 Ta
```

Values from the calculation:
Energy (eV for the cell shown): -276.82
Energy of formation (kJ/mol of formula units): -23

=====

Record 22
A geometry-optimized TaAl2 structure. Source: the Alexandria database, functional GGA-PBE.

```
TaAl2
1.0
1.391 5.563 -0.048
-1.391 5.563 -0.048
0.000 2.654 6.639
Al Ta
4 2
Cartesian
0.000 10.864 4.286 Al
0.000 5.835 2.020 Al
0.000 2.917 2.257 Al
0.000 7.946 4.523 Al
0.000 9.717 0.013 Ta
0.000 4.064 6.530 Ta
```

Values from the calculation:
Energy (eV for the cell shown): -39.17
Energy of formation (kJ/mol of formula units): -24

=====

Record 23
A geometry-optimized Ta2Al structure. Source: the Alexandria database, functional GGA-PBE.

```
Ta2Al
1.0
1.549 -4.361 -3.105
2.529 -2.115 -4.494
6.754 -1.626 2.138
Ta Al
4 2
Cartesian
3.347 -3.715 -3.647 Ta
3.784 -1.640 0.018 Ta
7.047 -6.461 -5.479 Ta
7.485 -4.387 -1.814 Ta
6.554 -2.666 0.314 Al
4.277 -5.436 -5.775 Al
```

Values from the calculation:
Energy (eV for the cell shown): -54.94
Energy of formation (kJ/mol of formula units): -2

=====

Record 24
A geometry-optimized TaAl structure. Source: the Alexandria database, functional GGA-PBE.

```
TaAl
1.0
-2.956 4.586 5.798
5.375 -2.953 5.076
2.997 3.425 -1.181
Ta Al
8 8
Cartesian
1.418 3.854 5.417 Ta
1.791 -0.390 3.414 Ta
3.457 2.489 6.631 Ta
-0.567 1.960 4.244 Ta
0.628 2.023 7.460 Ta
3.998 1.203 4.276 Ta
2.986 -0.327 6.629 Ta
1.959 2.569 3.062 Ta
2.538 0.910 9.080 Al
-1.468 3.472 6.345 Al
3.116 0.948 1.298 Al
-0.119 0.722 1.794 Al
5.690 0.370 6.152 Al
-0.274 4.688 3.541 Al
3.887 -1.840 4.529 Al
2.299 4.110 8.395 Al
```

Values from the calculation:
Energy (eV for the cell shown): -122.02
Energy of formation (kJ/mol of formula units): 33